1.
Material: KHAu2
Method: DFT, PBE
State: relaxed

extended XYZ file:
```
8
Lattice="-2.785 2.785 5.554 2.785 -2.785 5.554 2.785 2.785 -5.554" Properties=species:S:1:pos:R:3 pbc="T T T"
K 2.785 1.392 1.388
K 0.000 1.392 4.165
H 2.785 -1.392 4.165
H 0.000 4.177 1.388
Au 0.000 0.000 0.000
Au 1.392 1.392 -2.777
Au 1.392 -1.392 2.777
Au 0.000 2.785 0.000
```

Summary:
volume	172.29	Å³/cell
space-group type	I4_1/amd (141)
raw total energy	-2.79	eV per atom

=====

2.
Material: KMg2CoP
Method: DFT, PBE
State: relaxed

extended XYZ file:
```
5
Lattice="4.988 0.000 0.000 0.000 4.988 0.000 0.000 0.000 4.309" Properties=species:S:1:pos:R:3 pbc="T T T"
K 0.000 0.000 0.000
Mg 0.000 2.494 2.155
Mg 2.494 0.000 2.155
Co 2.494 2.494 2.155
P 2.494 2.494 0.000
```

Summary:
volume	107.22	Å³/cell
formation energy	-0.0609	eV/atom
space-group type	P4/mmm (123)

=====

3.
Material: PrDy2HoAg4
Method: DFT, PBE
State: relaxed

extended XYZ file:
```
8
Lattice="2.591 1.496 8.525 -2.591 1.496 8.525 0.000 -2.991 8.525" Properties=species:S:1:pos:R:3 pbc="T T T"
Pr 0.000 0.000 0.000
Dy 0.000 0.000 6.357
Dy 0.000 0.000 19.216
Ho 0.000 0.000 12.787
Ag 0.000 0.000 3.259
Ag 0.000 0.000 9.703
Ag 0.000 0.000 15.871
Ag 0.000 0.000 22.315
```

Summary:
volume	198.18	Å³/cell
formation energy	-0.2958	eV/atom
space-group type	R-3m (166)

=====

4.
Material: YRe2Mo
Method: DFT, PBE
State: relaxed

extended XYZ file:
```
4
Lattice="-1.597 2.360 4.626 1.597 -2.360 4.626 1.597 2.360 -4.626" Properties=species:S:1:pos:R:3 pbc="T T T"
Y 0.000 0.000 0.000
Re 1.597 0.000 2.462
Re 0.000 2.360 2.165
Mo 0.000 0.000 4.626
```

Summary:
volume	69.74	Å³/cell
formation energy	0.3062	eV/atom
space-group type	Immm (71)

=====

5.
Material: Ga2GePb
Method: DFT, PBE
State: relaxed

extended XYZ file:
```
4
Lattice="2.035 1.175 6.679 -2.035 1.175 6.679 0.000 -2.349 6.679" Properties=species:S:1:pos:R:3 pbc="T T T"
Ga 0.000 0.000 0.000
Ga 0.000 0.000 4.164
Ge 0.000 0.000 12.094
Pb 0.000 0.000 15.407
```

Summary:
volume	95.77	Å³/cell
formation energy	0.1126	eV/atom
space-group type	R3m (160)

=====

6.
Material: PmEr2Fe9
Method: DFT, PBE
State: relaxed

extended XYZ file:
```
12
Lattice="2.551 1.473 8.051 -2.551 1.473 8.051 0.000 -2.946 8.051" Properties=species:S:1:pos:R:3 pbc="T T T"
Pm 0.000 0.000 0.000
Er 0.000 0.000 3.437
Er 0.000 0.000 20.718
Fe -1.274 -0.736 10.050
Fe 0.000 0.000 8.036
Fe 0.000 -1.472 14.105
Fe -1.274 0.736 14.105
Fe 0.000 0.000 12.077
Fe 1.274 -0.736 10.050
Fe 0.000 1.472 10.050
Fe 0.000 0.000 16.118
Fe 1.274 0.736 14.105
```

Summary:
volume	181.51	Å³/cell
formation energy	-0.0629	eV/atom
space-group type	R-3m (166)